This record from the Alexandria database describes a relaxed TmThFeAg crystal. The functional is GGA-PBE.

Calculated values
Fermi-level density of states = 0.80 states/eV/atom
formation enthalpy at 0 K = 0.006 eV/atom

extended XYZ file:
```
16
Lattice="7.1126 0.0000 0.0000 0.0000 7.1126 0.0000 0.0000 0.0000 7.1126" Properties=species:S:1:pos:R:3 pbc="T T T"
Tm 0.0000 0.0000 0.0000
Tm 0.0000 3.5563 3.5563
Tm 3.5563 0.0000 3.5563
Tm 3.5563 3.5563 0.0000
Th 0.0000 0.0000 3.5563
Th 0.0000 3.5563 0.0000
Th 3.5563 0.0000 0.0000
Th 3.5563 3.5563 3.5563
Fe 1.7781 1.7781 5.3344
Fe 1.7781 5.3344 1.7781
Fe 5.3344 1.7781 1.7781
Fe 5.3344 5.3344 5.3344
Ag 1.7781 1.7781 1.7781
Ag 1.7781 5.3344 5.3344
Ag 5.3344 1.7781 5.3344
Ag 5.3344 5.3344 1.7781
```

=====

This record from the Alexandria database describes a relaxed Ti5Fe4Ag crystal. The functional is GGA-PBE.

Calculated values
Fermi-level density of states = 0.60 states/eV/atom
formation enthalpy at 0 K = -0.302 eV/atom

extended XYZ file:
```
10
Lattice="2.9317 0.0000 0.0000 0.0000 2.9317 0.0000 0.0000 0.0000 16.0819" Properties=species:S:1:pos:R:3 pbc="T T T"
Ti 0.0000 0.0000 0.0000
Ti 0.0000 0.0000 2.9654
Ti 0.0000 0.0000 5.9429
Ti 0.0000 0.0000 10.1390
Ti 0.0000 0.0000 13.1165
Fe 1.4659 1.4659 1.4804
Fe 1.4659 1.4659 4.4635
Fe 1.4659 1.4659 11.6184
Fe 1.4659 1.4659 14.6015
Ag 1.4659 1.4659 8.0410
```